Here is crystalline CeLu2Te at its relaxed geometry from Alexandria via LeMat-Bulk. Energies are from PBE.

a b c (Å): 11.0328 11.0328 11.0328
angles (deg): 19.20 19.20 19.20
Last column: nearest neighbours and their distance in Å.
Atoms (fractional coordinates):
Ce  0.0000  0.0000  0.0000  2 Lu 3.30, 6 Ce 3.68
Lu  0.1015  0.1015  0.1015  3 Te 3.00, 1 Ce 3.30
Lu  0.8985  0.8985  0.8985  3 Te 3.00, 1 Ce 3.30
Te  0.5000  0.5000  0.5000  6 Lu 3.00

Results
Its space group is R-3m, No. 166. The energy above the most stable polymorph in this dataset is 0.3715 eV per atom. As for the uncorrected formation energy: -0.1032 eV/atom. The calculation puts the volume at 31.7 Å³/atom. Its theoretical density is 8.08 g cm⁻³. As for the density of states at the Fermi level: 10.77 states/eV/cell.


Here is crystalline Zn2AgTe at its relaxed geometry from Alexandria via LeMat-Bulk. Energies are from PBE.

a b c (Å): 4.8915 4.8915 4.8915
angles (deg): 60.00 60.00 60.00
Last column: nearest neighbours and their distance in Å.
Atoms (fractional coordinates):
Zn  0.2500  0.2500  0.2500  4 Te 3.00, 4 Ag 3.00
Zn  0.7500  0.7500  0.7500  4 Te 3.00, 4 Ag 3.00
Ag  0.0000  0.0000  0.0000  8 Zn 3.00
Te  0.5000  0.5000  0.5000  8 Zn 3.00

Results
Its space group is Fm-3m, No. 225. The energy above the most stable polymorph in this dataset is 0.2360 eV per atom. As for the uncorrected formation energy: 0.2332 eV/atom. The calculation puts the volume at 20.7 Å³/atom. Its theoretical density is 7.35 g cm⁻³. As for the density of states at the Fermi level: 2.41 states/eV/cell.


Here is crystalline MgMnP2 at its relaxed geometry from Alexandria via LeMat-Bulk. Energies are from PBE.

a b c (Å): 3.6011 3.6271 5.1169
angles (deg): 90.00 90.00 90.00
Last column: nearest neighbours and their distance in Å.
Atoms (fractional coordinates):
Mg  0.0000  0.0000  0.0000  6 P 2.56
Mn  0.5000  0.5000  0.5000  6 P 2.56
P  0.0000  0.0000  0.5000  4 Mn 2.56, 2 Mg 2.56
P  0.5000  0.5000  0.0000  4 Mg 2.56, 2 Mn 2.56

Results
Its space group is Pmmm, No. 47. For the calculated formation energy, the calculation gives -173 meV per atom. The calculation puts the volume at 16.7 Å³/atom. Its theoretical density is 3.51 g cm⁻³. As for the density of states at the Fermi level: 1.97 states/eV/cell.


Here is crystalline YCoOs at its relaxed geometry from Alexandria via LeMat-Bulk. Energies are from PBE.

a b c (Å): 4.4587 4.4587 4.4587
angles (deg): 60.00 60.00 60.00
Last column: nearest neighbours and their distance in Å.
Atoms (fractional coordinates):
Y  0.0000  0.0000  0.0000  4 Co 2.73, 4 Os 2.73
Co  0.2500  0.2500  0.2500  4 Y 2.73
Os  0.7500  0.7500  0.7500  4 Y 2.73

Results
Its space group is F-43m, No. 216. The energy above the most stable polymorph in this dataset is 1.5694 eV per atom. For the calculated formation energy, the calculation gives 1318 meV per atom. The calculation puts the volume at 20.9 Å³/atom. Its theoretical density is 8.96 g cm⁻³. As for the density of states at the Fermi level: 6.39 states/eV/cell.


Here is crystalline PmPaSe2O8 at its relaxed geometry from Alexandria via LeMat-Bulk. Energies are from PBE.

a b c (Å): 6.1856 6.1856 6.1856
angles (deg): 107.77 107.77 112.93
Last column: nearest neighbours and their distance in Å.
Atoms (fractional coordinates):
Pm  0.0000  0.0000  0.0000  8 O 2.37-2.53
Pa  0.2500  0.7500  0.5000  8 O 2.28-2.39
Se  0.5000  0.5000  0.0000  4 O 1.92
Se  0.7500  0.2500  0.5000  4 O 1.91
O  0.3081  0.1156  0.8076  1 Se 1.92
O  0.3081  0.5005  0.1924  1 Se 1.92
O  0.3664  0.0441  0.3223  1 Se 1.91
O  0.4995  0.6919  0.8076  1 Se 1.92
O  0.7219  0.0441  0.6777  1 Se 1.91
O  0.8844  0.6919  0.1924  1 Se 1.92
O  0.9559  0.2781  0.3223  1 Se 1.91
O  0.9559  0.6336  0.6777  1 Se 1.91

Results
Its space group is I-4m2, No. 119. As for the uncorrected formation energy: -1.9204 eV/atom. The calculation puts the volume at 15.1 Å³/atom. Its theoretical density is 6.05 g cm⁻³.


Here is crystalline Ho4ThAu5 at its relaxed geometry from Alexandria via LeMat-Bulk. Energies are from PBE.

a b c (Å): 3.5654 3.5654 18.4493
angles (deg): 90.00 90.00 90.00
Last column: nearest neighbours and their distance in Å.
Atoms (fractional coordinates):
Ho  0.0000  0.0000  0.0983  8 Au 3.10-3.11
Ho  0.0000  0.0000  0.2938  8 Au 3.06-3.10
Ho  0.0000  0.0000  0.7062  8 Au 3.06-3.10
Ho  0.0000  0.0000  0.9017  8 Au 3.10-3.11
Th  0.0000  0.0000  0.5000  8 Au 3.26, 4 Th 3.57
Au  0.5000  0.5000  0.0000  8 Ho 3.11
Au  0.5000  0.5000  0.1958  8 Ho 3.10
Au  0.5000  0.5000  0.3876  4 Ho 3.06, 4 Th 3.26
Au  0.5000  0.5000  0.6124  4 Ho 3.06, 4 Th 3.26
Au  0.5000  0.5000  0.8042  8 Ho 3.10

Results
Its space group is P4/mmm, No. 123. For the calculated formation energy, the calculation gives -811 meV per atom. The calculation puts the volume at 23.5 Å³/atom. Its theoretical density is 13.29 g cm⁻³. As for the density of states at the Fermi level: 5.52 states/eV/cell.


Here is crystalline K2HPtAu at its relaxed geometry from Alexandria via LeMat-Bulk. Energies are from PBE.

a b c (Å): 5.8896 5.8896 3.4210
angles (deg): 90.00 90.00 90.00
Last column: nearest neighbours and their distance in Å.
Atoms (fractional coordinates):
K  0.0000  0.5000  0.0000  2 H 2.94
K  0.5000  0.0000  0.0000  2 H 2.94
H  0.0000  0.0000  0.0000  2 Pt 1.71
Pt  0.0000  0.0000  0.5000  2 H 1.71
Au  0.5000  0.5000  0.5000  8 K 3.41, 2 Au 3.42

Results
Its space group is P4/mmm, No. 123. The calculation puts the volume at 23.7 Å³/atom. Its theoretical density is 6.59 g cm⁻³. For the uncorrected energy, the calculation gives -3.14 eV per atom. As for the density of states at the Fermi level: 0.71 states/eV/cell.


Here is crystalline RbReSe2Br at its relaxed geometry from Alexandria via LeMat-Bulk. Energies are from PBE.

a b c (Å): 4.8698 4.8698 5.7123
angles (deg): 90.00 90.00 90.00
Last column: nearest neighbours and their distance in Å.
Atoms (fractional coordinates):
Rb  0.0000  0.0000  0.0000  4 Br 3.44, 8 Se 3.75
Re  0.5000  0.5000  0.5000  4 Se 2.43
Se  0.0000  0.5000  0.5000  2 Re 2.43
Se  0.5000  0.0000  0.5000  2 Re 2.43
Br  0.5000  0.5000  0.0000  2 Re 2.86

Results
Its space group is P4/mmm, No. 123. The energy above the most stable polymorph in this dataset is 0.0000 eV per atom. As for the uncorrected formation energy: -0.2869 eV/atom. The calculation puts the volume at 27.1 Å³/atom. Its theoretical density is 6.25 g cm⁻³. As for the density of states at the Fermi level: 1.09 states/eV/cell.


Here is crystalline CuTeAs at its relaxed geometry from Alexandria via LeMat-Bulk. Energies are from PBE.

a b c (Å): 3.8994 3.8994 4.6950
angles (deg): 90.00 90.00 120.00
Last column: nearest neighbours and their distance in Å.
Atoms (fractional coordinates):
Cu  0.0000  0.0000  0.0000  3 As 2.53, 3 Te 2.69
Te  0.6667  0.3333  0.3129  3 Cu 2.69
As  0.3333  0.6667  0.7554  3 Cu 2.53

Results
Its space group is P3m1, No. 156. As for the uncorrected formation energy: 0.0953 eV/atom. The calculation puts the volume at 20.6 Å³/atom. Its theoretical density is 7.15 g cm⁻³. As for the density of states at the Fermi level: 1.26 states/eV/cell.


Here is crystalline Pa4S6Cl at its relaxed geometry from Alexandria via LeMat-Bulk. Energies are from PBE.

a b c (Å): 8.3914 8.3914 3.8399
angles (deg): 90.00 90.00 120.00
Last column: nearest neighbours and their distance in Å.
Atoms (fractional coordinates):
Pa  0.0000  0.0000  0.0000  9 S 2.80-3.01
Pa  0.5199  0.0398  0.5000  6 S 2.76-2.77
Pa  0.5199  0.4801  0.5000  6 S 2.76-2.77
Pa  0.9602  0.4801  0.5000  6 S 2.76-2.77
S  0.1404  0.2807  0.5000  4 Pa 2.76-2.80
S  0.1404  0.8596  0.5000  4 Pa 2.76-2.80
S  0.4148  0.2074  0.0000  5 Pa 2.77-3.01
S  0.7193  0.8596  0.5000  4 Pa 2.76-2.80
S  0.7926  0.2074  0.0000  5 Pa 2.77-3.01
S  0.7926  0.5852  0.0000  5 Pa 2.77-3.01
Cl  0.3333  0.6667  0.0000  6 Pa 3.32, 6 S 3.40

Results
Its space group is P-6m2, No. 187. As for the uncorrected formation energy: -1.5625 eV/atom. The calculation puts the volume at 21.3 Å³/atom. Its theoretical density is 8.17 g cm⁻³. As for the density of states at the Fermi level: 12.32 states/eV/cell.


Here is crystalline CoRePb2 at its relaxed geometry from Alexandria via LeMat-Bulk. Energies are from PBE.

a b c (Å): 4.7184 4.7184 4.7184
angles (deg): 60.00 60.00 60.00
Last column: nearest neighbours and their distance in Å.
Atoms (fractional coordinates):
Co  0.0000  0.0000  0.0000  8 Pb 2.89
Re  0.5000  0.5000  0.5000  8 Pb 2.89
Pb  0.2500  0.2500  0.2500  4 Re 2.89, 4 Co 2.89
Pb  0.7500  0.7500  0.7500  4 Re 2.89, 4 Co 2.89

Results
Its space group is Fm-3m, No. 225. The energy above the most stable polymorph in this dataset is 0.5113 eV per atom. For the calculated formation energy, the calculation gives 974 meV per atom. The calculation puts the volume at 18.6 Å³/atom. Its theoretical density is 14.74 g cm⁻³. As for the density of states at the Fermi level: 1.92 states/eV/cell.


Here is crystalline HfMnIr2 at its relaxed geometry from Alexandria via LeMat-Bulk. Energies are from PBE.

a b c (Å): 5.9547 5.9547 5.9547
angles (deg): 151.85 138.85 50.60
Last column: nearest neighbours and their distance in Å.
Atoms (fractional coordinates):
Hf  0.0000  0.0000  0.0000  4 Mn 2.54
Mn  0.5000  0.5000  0.0000  2 Ir 2.26
Ir  0.2903  0.2903  0.0000  1 Mn 2.26
Ir  0.7097  0.7097  0.0000  1 Mn 2.26

Results
Its space group is Immm, No. 71. For the calculated formation energy, the calculation gives 191 meV per atom. The calculation puts the volume at 16.3 Å³/atom. Its theoretical density is 15.72 g cm⁻³. As for the density of states at the Fermi level: 3.84 states/eV/cell.


Asked for total magnetization across the records above, the calculation gives 1.76; 0.00; 3.26; 2.38; 0.00; 0.00; 0.00; 0.00; 0.00; 2.12; 0.00; 0.00 μB/cell in order.